First-principles (PBE) data for an optimized crystal structure of HoEr2AlCd3Ga2, as listed in OQMD via LeMat-Bulk.

The structure in POSCAR format:
```
HoEr2AlCd3Ga2
1.0
4.410 0.000 0.000
0.000 6.257 3.609
0.000 -6.257 3.609
Ho Er Al Cd Ga
1 2 1 3 2
direct
0.000 0.000 0.000
0.000 0.433 0.867
0.000 0.867 0.433
0.000 0.434 0.434
0.500 0.186 0.433
0.500 0.433 0.186
0.500 0.680 0.680
0.500 0.100 0.766
0.500 0.766 0.100
```

Computed properties:
The calculation puts the theoretical density at 8.4 Mg/m³. As for the space-group type: Amm2, No. 38. Its volume is 199.20 Å³/cell. As for the calculated total energy: -30.48 eV/f.u.

First-principles (PBE) data for an optimized crystal structure of Er3MgAlCd2Ga2, as listed in OQMD via LeMat-Bulk.

The structure in POSCAR format:
```
Er3MgAlCd2Ga2
1.0
4.434 0.000 0.000
0.000 6.222 3.606
0.000 -6.222 3.606
Er Mg Al Cd Ga
3 1 1 2 2
direct
0.000 0.000 0.000
0.000 0.131 0.567
0.000 0.567 0.131
0.500 0.325 0.325
0.000 0.567 0.567
0.500 0.564 0.811
0.500 0.811 0.564
0.500 0.231 0.903
0.500 0.903 0.231
```

Computed properties:
The calculation puts the theoretical density at 7.7 Mg/m³. As for the space-group type: Amm2, No. 38. Its volume is 199.00 Å³/cell. As for the calculated total energy: -31.04 eV/f.u.

First-principles (PBE) data for an optimized crystal structure of TbEr2AlCd3Ga2, as listed in OQMD via LeMat-Bulk.

The structure in POSCAR format:
```
TbEr2AlCd3Ga2
1.0
4.412 0.000 0.000
0.000 6.278 3.611
0.000 -6.278 3.611
Tb Er Al Cd Ga
1 2 1 3 2
direct
0.000 0.000 0.000
0.000 0.433 0.866
0.000 0.866 0.433
0.000 0.435 0.435
0.500 0.186 0.433
0.500 0.433 0.186
0.500 0.679 0.679
0.500 0.100 0.765
0.500 0.765 0.100
```

Computed properties:
The calculation puts the theoretical density at 8.3 Mg/m³. As for the space-group type: Amm2, No. 38. Its volume is 200.06 Å³/cell. As for the calculated total energy: -30.57 eV/f.u.

First-principles (PBE) data for an optimized crystal structure of ErTm2AlCd3Ga2, as listed in OQMD via LeMat-Bulk.

The structure in POSCAR format:
```
ErTm2AlCd3Ga2
1.0
4.399 0.000 0.000
0.000 6.238 3.597
0.000 -6.238 3.597
Er Tm Al Cd Ga
1 2 1 3 2
direct
0.000 0.000 0.000
0.000 0.132 0.566
0.000 0.566 0.132
0.000 0.566 0.566
0.500 0.319 0.319
0.500 0.566 0.813
0.500 0.813 0.566
0.500 0.233 0.899
0.500 0.899 0.233
```

Computed properties:
The calculation puts the theoretical density at 8.5 Mg/m³. As for the space-group type: Amm2, No. 38. Its volume is 197.41 Å³/cell. As for the calculated total energy: -30.18 eV/f.u.

First-principles (PBE) data for an optimized crystal structure of Gd2ErAl2Cd4, as listed in OQMD via LeMat-Bulk.

The structure in POSCAR format:
```
Gd2ErAl2Cd4
1.0
4.541 0.000 0.000
0.000 6.332 3.685
0.000 -6.332 3.685
Gd Er Al Cd
2 1 2 4
direct
0.000 0.214 0.786
0.000 0.786 0.214
0.000 0.356 0.356
0.500 0.120 0.451
0.500 0.451 0.120
0.000 0.781 0.781
0.500 0.037 0.037
0.500 0.532 0.785
0.500 0.785 0.532
```

Computed properties:
The calculation puts the theoretical density at 7.7 Mg/m³. As for the space-group type: Amm2, No. 38. Its volume is 211.86 Å³/cell. As for the calculated total energy: -28.42 eV/f.u.

First-principles (PBE) data for an optimized crystal structure of GdEr2Mg3Al2Cd, as listed in OQMD via LeMat-Bulk.

The structure in POSCAR format:
```
GdEr2Mg3Al2Cd
1.0
4.531 0.000 0.000
0.000 6.440 3.687
0.000 -6.440 3.687
Gd Er Mg Al Cd
1 2 3 2 1
direct
0.000 0.000 0.000
0.000 0.139 0.570
0.000 0.570 0.139
0.500 0.323 0.323
0.500 0.568 0.815
0.500 0.815 0.568
0.500 0.238 0.902
0.500 0.902 0.238
0.000 0.565 0.565
```

Computed properties:
The calculation puts the theoretical density at 5.6 Mg/m³. As for the space-group type: Amm2, No. 38. Its volume is 215.19 Å³/cell. As for the calculated total energy: -29.59 eV/f.u.

First-principles (PBE) data for an optimized crystal structure of Gd2ErMg3Al2Cd, as listed in OQMD via LeMat-Bulk.

The structure in POSCAR format:
```
Gd2ErMg3Al2Cd
1.0
4.548 0.000 0.000
0.000 6.410 3.733
0.000 -6.410 3.733
Gd Er Mg Al Cd
2 1 3 2 1
direct
0.000 0.215 0.785
0.000 0.785 0.215
0.000 0.356 0.356
0.500 0.030 0.030
0.500 0.538 0.784
0.500 0.784 0.538
0.500 0.120 0.451
0.500 0.451 0.120
0.000 0.781 0.781
```

Computed properties:
The calculation puts the theoretical density at 5.5 Mg/m³. As for the space-group type: Amm2, No. 38. Its volume is 217.66 Å³/cell. As for the calculated total energy: -29.74 eV/f.u.

First-principles (PBE) data for an optimized crystal structure of Ho2ErAl2Cd4, as listed in OQMD via LeMat-Bulk.

The structure in POSCAR format:
```
Ho2ErAl2Cd4
1.0
4.541 0.000 0.000
0.000 6.289 3.635
0.000 -6.289 3.635
Ho Er Al Cd
2 1 2 4
direct
0.000 0.215 0.785
0.000 0.785 0.215
0.000 0.645 0.645
0.500 0.549 0.881
0.500 0.881 0.549
0.000 0.216 0.216
0.500 0.215 0.467
0.500 0.467 0.215
0.500 0.963 0.963
```

Computed properties:
The calculation puts the theoretical density at 8.0 Mg/m³. As for the space-group type: Amm2, No. 38. Its volume is 207.63 Å³/cell. As for the calculated total energy: -28.16 eV/f.u.